1.
The following is a PBE calculation of Sc2TaP after structural relaxation, from Alexandria via LeMat-Bulk.

Structure (CIF):
```
data_Sc2TaP
_chemical_formula_sum 'Sc4 Ta2 P2'
_cell_length_a 3.337
_cell_length_b 4.444
_cell_length_c 10.193
_cell_angle_alpha 90.00
_cell_angle_beta 90.00
_cell_angle_gamma 90.00
_space_group_name_H-M_alt 'I m m m'
_space_group_IT_number 71
_space_group_name_Hall '-I 2 2'
loop_
_atom_site_label
_atom_site_fract_x
_atom_site_fract_y
_atom_site_fract_z
Sc1 0.000 0.000 0.192
Ta1 0.000 0.500 0.000
P1 0.000 0.500 0.500
```


2.
The following is a PBE calculation of Sc2TaP after structural relaxation, from Alexandria via LeMat-Bulk.

Structure (CIF):
```
data_Sc2TaP
_chemical_formula_sum 'Sc6 Ta3 P3'
_cell_length_a 3.3486
_cell_length_b 3.3486
_cell_length_c 24.6650
_cell_angle_alpha 90.00
_cell_angle_beta 90.00
_cell_angle_gamma 120.00
_space_group_name_H-M_alt 'R -3 m'
_space_group_IT_number 166
_space_group_name_Hall '-R 3 2"'
loop_
_atom_site_label
_atom_site_fract_x
_atom_site_fract_y
_atom_site_fract_z
Sc1 0.0000 0.0000 0.2341
Ta1 0.0000 0.0000 0.0000
P1 0.0000 0.0000 0.5000
```


3.
The following is a PBE calculation of ScTa2P after structural relaxation, from Alexandria via LeMat-Bulk.

Structure (CIF):
```
data_ScTa2P
_chemical_formula_sum 'Sc2 Ta4 P2'
_cell_length_a 8.966
_cell_length_b 3.303
_cell_length_c 4.915
_cell_angle_alpha 90.00
_cell_angle_beta 105.41
_cell_angle_gamma 90.00
_space_group_name_H-M_alt 'C 1 m 1'
_space_group_IT_number 8
_space_group_name_Hall 'C -2y'
loop_
_atom_site_label
_atom_site_fract_x
_atom_site_fract_y
_atom_site_fract_z
Sc1 0.000 0.000 0.000
Ta1 0.226 0.000 0.711
Ta2 0.458 0.000 0.448
P1 0.232 0.500 0.264
```


4.
The following is a PBE calculation of ScTaP2 after structural relaxation, from Alexandria via LeMat-Bulk.

Structure (CIF):
```
data_ScTaP2
_chemical_formula_sum 'Sc2 Ta2 P4'
_cell_length_a 6.356
_cell_length_b 6.907
_cell_length_c 3.128
_cell_angle_alpha 90.00
_cell_angle_beta 106.73
_cell_angle_gamma 90.00
_space_group_name_H-M_alt 'C 1 2/m 1'
_space_group_IT_number 12
_space_group_name_Hall '-C 2y'
loop_
_atom_site_label
_atom_site_fract_x
_atom_site_fract_y
_atom_site_fract_z
Sc1 0.000 0.000 0.000
Ta1 0.000 0.500 0.000
P1 0.250 0.250 0.500
```


5.
The following is a PBE calculation of ScTa2P after structural relaxation, from Alexandria via LeMat-Bulk.

Structure (CIF):
```
data_ScTa2P
_chemical_formula_sum 'Sc2 Ta4 P2'
_cell_length_a 3.872
_cell_length_b 3.872
_cell_length_c 9.325
_cell_angle_alpha 90.00
_cell_angle_beta 90.00
_cell_angle_gamma 90.00
_space_group_name_H-M_alt 'I 4/m m m'
_space_group_IT_number 139
_space_group_name_Hall '-I 4 2'
loop_
_atom_site_label
_atom_site_fract_x
_atom_site_fract_y
_atom_site_fract_z
Sc1 0.000 0.000 0.000
Ta1 0.000 0.500 0.250
P1 0.000 0.000 0.500
```


6.
The following is a PBE calculation of Sc2TaP2 after structural relaxation, from Alexandria via LeMat-Bulk.

Structure (CIF):
```
data_Sc2TaP2
_chemical_formula_sum 'Sc4 Ta2 P4'
_cell_length_a 6.725
_cell_length_b 6.725
_cell_length_c 3.699
_cell_angle_alpha 90.00
_cell_angle_beta 90.00
_cell_angle_gamma 90.00
_space_group_name_H-M_alt 'P 4/m b m'
_space_group_IT_number 127
_space_group_name_Hall '-P 4 2ab'
loop_
_atom_site_label
_atom_site_fract_x
_atom_site_fract_y
_atom_site_fract_z
Sc1 0.166 0.334 0.000
Ta1 0.000 0.000 0.500
P1 0.139 0.639 0.500
```


7.
The following is a PBE calculation of ScTaP2 after structural relaxation, from Alexandria via LeMat-Bulk.

Structure (CIF):
```
data_ScTaP2
_chemical_formula_sum 'Sc1 Ta1 P2'
_cell_length_a 3.652
_cell_length_b 3.652
_cell_length_c 5.115
_cell_angle_alpha 90.00
_cell_angle_beta 90.00
_cell_angle_gamma 90.00
_space_group_name_H-M_alt 'P 4/m m m'
_space_group_IT_number 123
_space_group_name_Hall '-P 4 2'
loop_
_atom_site_label
_atom_site_fract_x
_atom_site_fract_y
_atom_site_fract_z
Sc1 0.000 0.000 0.000
Ta1 0.500 0.500 0.500
P1 0.000 0.000 0.500
P2 0.500 0.500 0.000
```


8.
The following is a PBE calculation of Sc2TaP after structural relaxation, from Alexandria via LeMat-Bulk.

Structure (CIF):
```
data_Sc2TaP
_chemical_formula_sum 'Sc4 Ta2 P2'
_cell_length_a 3.986
_cell_length_b 3.986
_cell_length_c 8.985
_cell_angle_alpha 90.00
_cell_angle_beta 90.00
_cell_angle_gamma 90.00
_space_group_name_H-M_alt 'I 4/m m m'
_space_group_IT_number 139
_space_group_name_Hall '-I 4 2'
loop_
_atom_site_label
_atom_site_fract_x
_atom_site_fract_y
_atom_site_fract_z
Sc1 0.000 0.500 0.250
Ta1 0.000 0.000 0.000
P1 0.000 0.000 0.500
```


no.,formation energy (eV/atom),M_tot (μB per formula unit)
1,-0.2453,0.00
2,-0.3443,0.00
3,-0.2095,0.00
4,-0.6421,0.00
5,-0.1175,0.00
6,-1.0671,0.00
7,-0.9767,0.00
8,-0.2021,0.00